# 1
Compound: La2PmAs3
Source: the Alexandria database
Functional: GGA-PBE
Structure: relaxed

Cell: 4.3323 4.3323 18.3777 Å, 90.00 90.00 90.00°
Space group I4/mmm (No. 139)
Asymmetric unit:
La: 0.0000 0.0000 0.1658 [4 per cell]
Pm: 0.0000 0.0000 0.5000 [2 per cell]
As: 0.0000 0.0000 0.0000 [2 per cell]
As: 0.0000 0.0000 0.3352 [4 per cell]

Results
As for the final energy: -6.31 eV/atom. As for the formation energy: -1.55 eV per atom. The polymorph energy (0 for the lowest one) comes out at 3 meV/atom.

# 2
Compound: La2PmAs3
Source: the Alexandria database
Functional: GGA-PBE
Structure: relaxed

Cell: 4.3338 6.1240 12.9873 Å, 90.00 90.00 90.00°
Space group Immm (No. 71)
Asymmetric unit:
La: 0.0000 0.0000 0.1670 [4 per cell]
Pm: 0.0000 0.0000 0.5000 [2 per cell]
As: 0.0000 0.5000 0.1632 [4 per cell]
As: 0.0000 0.5000 0.5000 [2 per cell]

Results
As for the final energy: -6.31 eV/atom. As for the formation energy: -1.56 eV per atom. The polymorph energy (0 for the lowest one) comes out at 0 meV/atom.

# 3
Compound: LaPm2As3
Source: the Alexandria database
Functional: GGA-PBE
Structure: relaxed

Cell: 4.2871 6.0579 12.8548 Å, 90.00 90.00 90.00°
Space group Immm (No. 71)
Asymmetric unit:
La: 0.0000 0.0000 0.0000 [2 per cell]
Pm: 0.0000 0.0000 0.3336 [4 per cell]
As: 0.0000 0.5000 0.0000 [2 per cell]
As: 0.0000 0.5000 0.3301 [4 per cell]

Results
As for the final energy: -6.27 eV/atom. As for the formation energy: -1.54 eV per atom.

Ρ values (in g/cm3) by entry order: 6.235 6.239 6.502.
Volume values (in Å³ per cell) by entry order: 345 345 334.